NbGaO2 | PBE | relaxed

a = 7.197 Å, b = 7.197 Å, c = 7.197 Å
α = 23.69°, β = 23.69°, γ = 23.69°
Positions (direct):
Nb: 0.500 0.500 0.500
O: 0.896 0.896 0.896
O: 0.104 0.104 0.104
Ga: 0.000 0.000 0.000

- formation energy without anion corrections (eV/atom) = -1.63
- spin magnetization (μB per formula unit) = 0.00
- calculated density (g/cm3) = 6.11
- crystal system = trigonal

HgSb | PBE | relaxed

a = 3.372 Å, b = 3.372 Å, c = 10.472 Å
α = 90.00°, β = 90.00°, γ = 109.00°
Positions (direct):
Hg: 0.000 0.000 0.998
Hg: 0.500 0.500 0.752
Sb: 0.000 0.000 0.487
Sb: 0.500 0.500 0.263

- formation energy without anion corrections (eV/atom) = 0.15
- relative energy among the computed polymorphs (eV/atom) = 0.117
- spin magnetization (μB per formula unit) = 0.00
- calculated density (g/cm3) = 9.51
- crystal system = orthorhombic

HfScZnCl2 | PBE | relaxed

a = 4.793 Å, b = 5.564 Å, c = 4.793 Å
α = 90.00°, β = 90.00°, γ = 90.00°
Positions (direct):
Sc: 0.500 0.500 0.500
Zn: 0.000 0.500 0.000
Hf: 0.000 0.000 0.000
Cl: 0.000 0.000 0.500
Cl: 0.500 0.000 0.000

- formation energy without anion corrections (eV/atom) = -0.17
- spin magnetization (μB per formula unit) = 0.01
- calculated density (g/cm3) = 4.67
- crystal system = tetragonal

PaNi5H7 | PBE | relaxed

a = 4.985 Å, b = 5.310 Å, c = 5.310 Å
α = 83.95°, β = 62.01°, γ = 62.01°
Positions (direct):
Pa: 0.130 0.870 0.870
Ni: 0.388 0.195 0.542
Ni: 0.876 0.195 0.542
Ni: 0.388 0.542 0.195
Ni: 0.876 0.542 0.195
Ni: 0.794 0.706 0.706
H: 0.767 0.233 0.233
H: 0.491 0.509 0.509
H: 0.956 0.340 0.748
H: 0.956 0.748 0.340
H: 0.217 0.283 0.283
H: 0.580 0.761 0.078
H: 0.580 0.078 0.761

- spin magnetization (μB per formula unit) = 0.00
- VASP energy (eV/atom) = -4.737
- calculated density (g/cm3) = 8.14
- crystal system = orthorhombic

BePb2ICl | PBE | relaxed

a = 6.054 Å, b = 6.210 Å, c = 6.054 Å
α = 90.00°, β = 90.00°, γ = 90.00°
Positions (direct):
Pb: 0.000 0.000 0.500
Pb: 0.500 0.000 0.000
I: 0.000 0.000 0.000
Be: 0.500 0.500 0.500
Cl: 0.000 0.500 0.000

- formation energy without anion corrections (eV/atom) = 0.96
- spin magnetization (μB per formula unit) = 0.00
- calculated density (g/cm3) = 4.27
- crystal system = tetragonal

Sr2BeCu | PBE | relaxed

a = 8.190 Å, b = 8.190 Å, c = 6.924 Å
α = 53.74°, β = 53.74°, γ = 90.00°
Positions (direct):
Sr: 0.630 0.125 0.250
Sr: 0.120 0.625 0.250
Sr: 0.375 0.370 0.750
Sr: 0.875 0.880 0.750
Cu: 0.000 0.000 0.000
Cu: 0.750 0.250 0.500
Be: 0.500 0.500 0.000
Be: 0.250 0.750 0.500

- spin magnetization (μB per formula unit) = 0.00
- VASP energy (eV/atom) = -2.203
- calculated density (g/cm3) = 3.23
- crystal system = tetragonal

Tb3Pm6SmTh2 | PBE | relaxed

a = 6.258 Å, b = 6.258 Å, c = 12.007 Å
α = 95.00°, β = 95.00°, γ = 119.92°
Positions (direct):
Tb: 0.167 0.833 0.500
Tb: 0.833 0.167 0.500
Tb: 0.500 0.500 0.500
Pm: 0.917 0.579 0.752
Pm: 0.745 0.745 0.248
Pm: 0.083 0.421 0.248
Pm: 0.579 0.917 0.752
Pm: 0.255 0.255 0.752
Pm: 0.421 0.083 0.248
Sm: 0.000 0.000 0.000
Th: 0.333 0.667 0.000
Th: 0.667 0.333 0.000

- spin magnetization (μB per formula unit) = 0.00
- VASP energy (eV/atom) = -5.126
- calculated density (g/cm3) = 8.11
- crystal system = monoclinic

KSeO4 | PBE | relaxed

a = 5.599 Å, b = 5.599 Å, c = 7.876 Å
α = 110.82°, β = 110.82°, γ = 90.00°
Last column: magnetic moment on the atom in μB.
Positions (direct):
K: 0.000 0.000 0.000  0.00
K: 0.750 0.250 0.500  0.00
Se: 0.500 0.500 0.000  -0.04
Se: 0.250 0.750 0.500  -0.04
O: 0.569 0.323 0.139  0.22
O: 0.566 0.819 0.639  0.22
O: 0.073 0.819 0.639  0.22
O: 0.569 0.816 0.139  0.22
O: 0.181 0.434 0.361  0.22
O: 0.677 0.431 0.861  0.22
O: 0.184 0.431 0.861  0.22
O: 0.181 0.927 0.361  0.22

- formation energy without anion corrections (eV/atom) = -0.83
- spin magnetization (μB per formula unit) = 1.02
- calculated density (g/cm3) = 2.83
- crystal system = tetragonal

InHg3Te2F6 | PBE | relaxed

a = 5.712 Å, b = 6.566 Å, c = 7.423 Å
α = 116.25°, β = 96.11°, γ = 90.00°
Positions (direct):
In: 0.500 0.000 0.000
Hg: 0.000 0.500 0.000
Hg: 0.500 0.500 0.500
Hg: 0.500 0.000 0.500
Te: 0.098 0.706 0.412
Te: 0.902 0.294 0.588
F: 0.692 0.316 0.168
F: 0.308 0.684 0.832
F: 0.721 0.882 0.764
F: 0.279 0.118 0.236
F: 0.308 0.147 0.832
F: 0.692 0.853 0.168

- formation energy without anion corrections (eV/atom) = -1.38
- spin magnetization (μB per formula unit) = 0.00
- calculated density (g/cm3) = 7.27
- crystal system = monoclinic

SrDyY | PBE | relaxed

a = 3.734 Å, b = 3.734 Å, c = 8.468 Å
α = 102.74°, β = 102.74°, γ = 90.00°
Positions (direct):
Y: 0.681 0.681 0.361
Sr: 0.999 0.999 0.999
Dy: 0.320 0.320 0.640

- relative energy among the computed polymorphs (eV/atom) = 0.027
- spin magnetization (μB per formula unit) = 0.00
- calculated density (g/cm3) = 5.02
- crystal system = tetragonal